PmAlZn: optimized geometry, PBE.

abc: 4.638 4.638 4.638
angles: 60.00 60.00 60.00
Element x y z (fractional)
Zn1 0.250 0.250 0.250
Al1 0.500 0.500 0.500
Pm1 0.000 0.000 0.000

Results
- VASP energy (eV/cell) = -10.76
- formation enthalpy at 0 K (eV/atom) = -0.331
- space group = F-43m, No. 216
- E above lowest polymorph (meV per atom) = 112

HoPBrO4: optimized geometry, PBE.

abc: 6.376 6.376 6.532
angles: 80.48 80.48 58.03
Element x y z (fractional)
Ho1 0.299 0.299 0.822
Ho2 0.701 0.701 0.178
P1 0.636 0.636 0.742
P2 0.364 0.364 0.258
Br1 0.027 0.027 0.322
Br2 0.973 0.973 0.678
O1 0.303 0.303 0.488
O2 0.697 0.697 0.512
O3 0.123 0.517 0.137
O4 0.503 0.503 0.232
O5 0.483 0.877 0.863
O6 0.517 0.123 0.137
O7 0.497 0.497 0.768
O8 0.877 0.483 0.863

Results
- VASP energy (eV/cell) = -97.50
- raw formation energy (eV/atom) = -2.465
- space group = C2/m, No. 12

NaCa2Pa: optimized geometry, PBE.

abc: 3.366 3.366 13.307
angles: 82.73 82.73 60.00
Element x y z (fractional)
Na1 0.500 0.500 0.500
Ca1 0.084 0.084 0.748
Ca2 0.916 0.916 0.252
Pa1 0.000 0.000 0.000

Results
- VASP energy (eV/cell) = -13.02
- formation enthalpy at 0 K (eV/atom) = 0.451
- space group = R-3m, No. 166

Mo2PbSe: optimized geometry, PBE.

abc: 6.101 6.101 6.101
angles: 148.54 140.64 51.23
Element x y z (fractional)
Mo1 0.043 0.043 0.000
Mo2 0.775 0.275 0.500
Pb1 0.464 0.464 0.000
Se1 0.217 0.717 0.500

Results
- VASP energy (eV/cell) = -26.90
- raw formation energy (eV/atom) = 0.488
- space group = Imm2, No. 44
- E above lowest polymorph (meV per atom) = 350

Sm2TmNpN4: optimized geometry, PBE.

abc: 3.496 6.008 6.058
angles: 108.86 90.00 90.00
Last column: magnetic moment on the atom in μB.
Element x y z (fractional)
Sm1 0.500 0.000 0.500  0.05
Sm2 0.000 0.500 0.500  0.08
Tm1 0.500 0.500 0.000  0.04
Np1 0.000 0.000 0.000  2.76
N1 0.500 0.239 0.228  -0.09
N2 0.500 0.761 0.772  -0.09
N3 0.000 0.245 0.775  -0.06
N4 0.000 0.755 0.225  -0.06

Results
- VASP energy (eV/cell) = -72.03
- raw formation energy (eV/atom) = -1.485
- space group = P2/m, No. 10

CePrHgPd: optimized geometry, PBE.

abc: 5.283 5.283 5.283
angles: 60.00 60.00 60.00
Last column: magnetic moment on the atom in μB.
Element x y z (fractional)
Pr1 0.250 0.250 0.250  0.06
Pd1 0.000 0.000 0.000  -0.02
Hg1 0.500 0.500 0.500  0.01
Ce1 0.750 0.750 0.750  0.81

Results
- VASP energy (eV/cell) = -18.06
- formation enthalpy at 0 K (eV/atom) = -0.462
- space group = F-43m, No. 216

YReRh2: optimized geometry, PBE.

abc: 5.093 5.093 5.093
angles: 133.70 133.70 67.56
Element x y z (fractional)
Re1 0.750 0.250 0.500
Rh1 0.000 0.000 0.000
Rh2 0.250 0.750 0.500
Y1 0.500 0.500 0.000

Results
- VASP energy (eV/cell) = -33.45
- formation enthalpy at 0 K (eV/atom) = 0.042
- space group = I-4m2, No. 119
- E above lowest polymorph (meV per atom) = 214

PrSm2Tm4: optimized geometry, PBE.

abc: 8.418 8.455 8.418
angles: 109.47 109.36 109.47
Element x y z (fractional)
Pr1 0.750 0.500 0.250
Pr2 0.000 0.000 0.000
Sm1 0.374 0.874 0.749
Sm2 0.499 0.374 0.624
Sm3 0.875 0.126 0.500
Sm4 0.250 0.626 0.125
Tm1 0.788 0.249 0.874
Tm2 0.960 0.585 0.711
Tm3 0.625 0.751 0.540
Tm4 0.127 0.416 0.376
Tm5 0.461 0.085 0.210
Tm6 0.624 0.749 0.038
Tm7 0.290 0.251 0.875
Tm8 0.126 0.916 0.377

Results
- VASP energy (eV/cell) = -60.45
- formation enthalpy at 0 K (eV/atom) = 0.268
- space group = Fdd2, No. 43
- E above lowest polymorph (meV per atom) = 107